[1]
# Hg2IF | the Alexandria database | GGA-PBE | optimized geometry
data_Hg2IF
_chemical_formula_sum 'Hg6 I3 F3'
_cell_length_a 3.301
_cell_length_b 3.301
_cell_length_c 32.627
_cell_angle_alpha 90.00
_cell_angle_beta 90.00
_cell_angle_gamma 120.00
_space_group_name_H-M_alt 'P 1'
_space_group_IT_number 1
_space_group_name_Hall 'P 1'
loop_
_atom_site_label
_atom_site_fract_x
_atom_site_fract_y
_atom_site_fract_z
Hg1 0.000 0.000 0.109
Hg2 0.000 0.000 0.891
Hg3 0.333 0.667 0.558
Hg4 0.333 0.667 0.776
Hg5 0.667 0.333 0.224
Hg6 0.667 0.333 0.442
I1 0.000 0.000 0.000
I2 0.333 0.667 0.667
I3 0.667 0.333 0.333
F1 0.000 0.000 0.500
F2 0.333 0.667 0.167
F3 0.667 0.333 0.833
# Excess energy over the best structure of this formula in the dataset in eV per formula unit: 0.44
# D(E_F) in states/eV/cell: 7.422
# Uncorrected formation energy in eV/f.u.: -1.431

***

[2]
# Ti6MnPb3 | the Alexandria database | GGA-PBE | optimized geometry
data_Ti6MnPb3
_chemical_formula_sum 'Ti6 Mn1 Pb3'
_cell_length_a 6.000
_cell_length_b 6.000
_cell_length_c 7.306
_cell_angle_alpha 108.56
_cell_angle_beta 108.56
_cell_angle_gamma 60.24
_space_group_name_H-M_alt 'P 1'
_space_group_IT_number 1
_space_group_name_Hall 'P 1'
loop_
_atom_site_label
_atom_site_fract_x
_atom_site_fract_y
_atom_site_fract_z
Ti1 0.129 0.662 0.611
Ti2 0.301 0.301 0.216
Ti3 0.338 0.871 0.389
Ti4 0.662 0.129 0.611
Ti5 0.699 0.699 0.784
Ti6 0.871 0.338 0.389
Mn1 0.500 0.500 0.500
Pb1 0.000 0.000 0.000
Pb2 0.215 0.215 0.776
Pb3 0.785 0.785 0.224
# Excess energy over the best structure of this formula in the dataset in eV per formula unit: 1.98
# D(E_F) in states/eV/cell: 12.688
# Formation energy in eV per formula unit: 2.00

***

[3]
# YHo2Ru | the Alexandria database | GGA-PBE | optimized geometry
data_YHo2Ru
_chemical_formula_sum 'Y4 Ho8 Ru4'
_cell_length_a 3.937
_cell_length_b 11.837
_cell_length_c 9.025
_cell_angle_alpha 90.00
_cell_angle_beta 90.00
_cell_angle_gamma 90.00
_space_group_name_H-M_alt 'P 1'
_space_group_IT_number 1
_space_group_name_Hall 'P 1'
loop_
_atom_site_label
_atom_site_fract_x
_atom_site_fract_y
_atom_site_fract_z
Y1 0.000 0.074 0.250
Y2 0.000 0.926 0.750
Y3 0.500 0.426 0.750
Y4 0.500 0.574 0.250
Ho1 0.000 0.356 0.067
Ho2 0.000 0.356 0.433
Ho3 0.000 0.644 0.567
Ho4 0.000 0.644 0.933
Ho5 0.500 0.144 0.567
Ho6 0.500 0.144 0.933
Ho7 0.500 0.856 0.067
Ho8 0.500 0.856 0.433
Ru1 0.000 0.256 0.750
Ru2 0.000 0.744 0.250
Ru3 0.500 0.244 0.250
Ru4 0.500 0.756 0.750
# Excess energy over the best structure of this formula in the dataset in eV per formula unit: 0.07
# D(E_F) in states/eV/cell: 13.049
# Formation energy in eV per formula unit: -1.25

***

[4]
# Pa2NiGeN5 | the Alexandria database | GGA-PBE | optimized geometry
data_Pa2NiGeN5
_chemical_formula_sum 'Pa4 Ni2 Ge2 N10'
_cell_length_a 6.919
_cell_length_b 6.919
_cell_length_c 9.550
_cell_angle_alpha 90.00
_cell_angle_beta 90.00
_cell_angle_gamma 151.97
_space_group_name_H-M_alt 'P 1'
_space_group_IT_number 1
_space_group_name_Hall 'P 1'
loop_
_atom_site_label
_atom_site_fract_x
_atom_site_fract_y
_atom_site_fract_z
Pa1 0.124 0.876 0.500
Pa2 0.141 0.859 0.118
Pa3 0.859 0.141 0.618
Pa4 0.876 0.124 0.000
Ni1 0.222 0.778 0.832
Ni2 0.778 0.222 0.332
Ge1 0.442 0.558 0.274
Ge2 0.558 0.442 0.774
N1 0.057 0.943 0.871
N2 0.291 0.709 0.492
N3 0.314 0.686 0.172
N4 0.367 0.633 0.829
N5 0.494 0.506 0.600
N6 0.506 0.494 0.100
N7 0.633 0.367 0.329
N8 0.686 0.314 0.672
N9 0.709 0.291 0.992
N10 0.943 0.057 0.371
# D(E_F) in states/eV/cell: 7.323
# Uncorrected formation energy in eV/f.u.: -6.611

***

[5]
# RbAg2Pd2 | the Alexandria database | GGA-PBE | optimized geometry
data_RbAg2Pd2
_chemical_formula_sum 'Rb2 Ag4 Pd4'
_cell_length_a 4.509
_cell_length_b 4.509
_cell_length_c 11.627
_cell_angle_alpha 90.00
_cell_angle_beta 90.00
_cell_angle_gamma 90.00
_space_group_name_H-M_alt 'P 1'
_space_group_IT_number 1
_space_group_name_Hall 'P 1'
loop_
_atom_site_label
_atom_site_fract_x
_atom_site_fract_y
_atom_site_fract_z
Rb1 0.000 0.000 0.000
Rb2 0.500 0.500 0.500
Ag1 0.000 0.500 0.250
Ag2 0.000 0.500 0.750
Ag3 0.500 0.000 0.250
Ag4 0.500 0.000 0.750
Pd1 0.000 0.000 0.385
Pd2 0.000 0.000 0.615
Pd3 0.500 0.500 0.115
Pd4 0.500 0.500 0.885
# Excess energy over the best structure of this formula in the dataset in eV per formula unit: 0.51
# D(E_F) in states/eV/cell: 4.164
# Formation energy in eV per formula unit: 0.93

***

[6]
# Sm2TlIn9 | the Alexandria database | GGA-PBE | optimized geometry
data_Sm2TlIn9
_chemical_formula_sum 'Sm2 Tl1 In9'
_cell_length_a 4.679
_cell_length_b 4.679
_cell_length_c 14.597
_cell_angle_alpha 90.00
_cell_angle_beta 90.00
_cell_angle_gamma 90.00
_space_group_name_H-M_alt 'P 1'
_space_group_IT_number 1
_space_group_name_Hall 'P 1'
loop_
_atom_site_label
_atom_site_fract_x
_atom_site_fract_y
_atom_site_fract_z
Sm1 0.000 0.000 0.159
Sm2 0.000 0.000 0.841
Tl1 0.000 0.000 0.500
In1 0.000 0.500 0.000
In2 0.000 0.500 0.325
In3 0.000 0.500 0.675
In4 0.500 0.000 0.000
In5 0.500 0.000 0.325
In6 0.500 0.000 0.675
In7 0.500 0.500 0.162
In8 0.500 0.500 0.500
In9 0.500 0.500 0.838
# D(E_F) in states/eV/cell: 6.846
# Formation energy in eV per formula unit: -3.13

***

[7]
# Pr2Y6Ho3Er | the Alexandria database | GGA-PBE | optimized geometry
data_Pr2Y6Ho3Er
_chemical_formula_sum 'Pr2 Y6 Ho3 Er1'
_cell_length_a 6.197
_cell_length_b 6.197
_cell_length_c 11.849
_cell_angle_alpha 94.98
_cell_angle_beta 94.98
_cell_angle_gamma 119.96
_space_group_name_H-M_alt 'P 1'
_space_group_IT_number 1
_space_group_name_Hall 'P 1'
loop_
_atom_site_label
_atom_site_fract_x
_atom_site_fract_y
_atom_site_fract_z
Pr1 0.167 0.833 0.000
Pr2 0.833 0.167 0.000
Y1 0.083 0.415 0.747
Y2 0.253 0.253 0.253
Y3 0.415 0.083 0.747
Y4 0.585 0.917 0.253
Y5 0.747 0.747 0.747
Y6 0.917 0.585 0.253
Ho1 0.000 0.000 0.500
Ho2 0.334 0.666 0.500
Ho3 0.666 0.334 0.500
Er1 0.500 0.500 0.000
# D(E_F) in states/eV/cell: 16.900
# Formation energy in eV per formula unit: 0.24

***

[8]
# CaScB | the Alexandria database | GGA-PBE | optimized geometry
data_CaScB
_chemical_formula_sum 'Ca4 Sc4 B4'
_cell_length_a 13.046
_cell_length_b 6.105
_cell_length_c 3.192
_cell_angle_alpha 90.00
_cell_angle_beta 90.00
_cell_angle_gamma 90.00
_space_group_name_H-M_alt 'P 1'
_space_group_IT_number 1
_space_group_name_Hall 'P 1'
loop_
_atom_site_label
_atom_site_fract_x
_atom_site_fract_y
_atom_site_fract_z
Ca1 0.152 0.250 0.003
Ca2 0.348 0.750 0.503
Ca3 0.652 0.250 0.497
Ca4 0.848 0.750 0.997
Sc1 0.082 0.750 0.000
Sc2 0.418 0.250 0.500
Sc3 0.582 0.750 0.500
Sc4 0.918 0.250 0.000
B1 0.000 0.000 0.500
B2 0.000 0.500 0.500
B3 0.500 0.000 0.000
B4 0.500 0.500 0.000
# Excess energy over the best structure of this formula in the dataset in eV per formula unit: 1.16
# D(E_F) in states/eV/cell: 7.505
# Formation energy in eV per formula unit: 0.46

***

[9]
# CaSb12Ru4 | the Alexandria database | GGA-PBE | optimized geometry
data_CaSb12Ru4
_chemical_formula_sum 'Ca1 Sb12 Ru4'
_cell_length_a 8.136
_cell_length_b 8.136
_cell_length_c 8.136
_cell_angle_alpha 109.47
_cell_angle_beta 109.47
_cell_angle_gamma 109.47
_space_group_name_H-M_alt 'P 1'
_space_group_IT_number 1
_space_group_name_Hall 'P 1'
loop_
_atom_site_label
_atom_site_fract_x
_atom_site_fract_y
_atom_site_fract_z
Ca1 0.000 0.000 0.000
Sb1 0.158 0.341 0.500
Sb2 0.158 0.659 0.817
Sb3 0.183 0.842 0.341
Sb4 0.341 0.183 0.842
Sb5 0.341 0.500 0.158
Sb6 0.500 0.158 0.341
Sb7 0.500 0.842 0.659
Sb8 0.659 0.500 0.842
Sb9 0.659 0.817 0.158
Sb10 0.817 0.158 0.659
Sb11 0.842 0.341 0.183
Sb12 0.842 0.659 0.500
Ru1 0.000 0.000 0.500
Ru2 0.000 0.500 0.000
Ru3 0.500 0.000 0.000
Ru4 0.500 0.500 0.500
# D(E_F) in states/eV/cell: 14.446
# Uncorrected formation energy in eV/f.u.: -4.851

***

[10]
# InFe3I9 | the Alexandria database | GGA-PBE | optimized geometry
data_InFe3I9
_chemical_formula_sum 'In2 Fe6 I18'
_cell_length_a 11.768
_cell_length_b 11.768
_cell_length_c 15.066
_cell_angle_alpha 126.60
_cell_angle_beta 126.60
_cell_angle_gamma 53.57
_space_group_name_H-M_alt 'P 1'
_space_group_IT_number 1
_space_group_name_Hall 'P 1'
loop_
_atom_site_label
_atom_site_fract_x
_atom_site_fract_y
_atom_site_fract_z
In1 0.221 0.779 0.500
In2 0.779 0.221 0.000
Fe1 0.062 0.272 0.848
Fe2 0.272 0.062 0.348
Fe3 0.283 0.456 0.689
Fe4 0.456 0.283 0.189
Fe5 0.649 0.848 0.226
Fe6 0.848 0.649 0.726
I1 0.000 0.472 0.581
I2 0.107 0.242 0.239
I3 0.119 0.972 0.342
I4 0.191 0.447 0.066
I5 0.242 0.107 0.739
I6 0.301 0.672 0.704
I7 0.399 0.451 0.892
I8 0.447 0.191 0.566
I9 0.451 0.399 0.392
I10 0.469 0.810 0.250
I11 0.472 0.000 0.081
I12 0.585 0.790 0.607
I13 0.672 0.301 0.204
I14 0.790 0.585 0.107
I15 0.810 0.469 0.750
I16 0.823 0.970 0.428
I17 0.970 0.823 0.928
I18 0.972 0.119 0.842
# D(E_F) in states/eV/cell: 11.071
# Uncorrected formation energy in eV/f.u.: -2.424

***

[11]
# Ce2ErSn3 | the Alexandria database | GGA-PBE | optimized geometry
data_Ce2ErSn3
_chemical_formula_sum 'Ce4 Er2 Sn6'
_cell_length_a 5.170
_cell_length_b 6.333
_cell_length_c 11.105
_cell_angle_alpha 90.00
_cell_angle_beta 90.00
_cell_angle_gamma 90.00
_space_group_name_H-M_alt 'P 1'
_space_group_IT_number 1
_space_group_name_Hall 'P 1'
loop_
_atom_site_label
_atom_site_fract_x
_atom_site_fract_y
_atom_site_fract_z
Ce1 0.000 0.000 0.169
Ce2 0.000 0.000 0.831
Ce3 0.500 0.500 0.331
Ce4 0.500 0.500 0.669
Er1 0.000 0.000 0.500
Er2 0.500 0.500 0.000
Sn1 0.000 0.500 0.157
Sn2 0.000 0.500 0.500
Sn3 0.000 0.500 0.843
Sn4 0.500 0.000 0.000
Sn5 0.500 0.000 0.343
Sn6 0.500 0.000 0.657
# Excess energy over the best structure of this formula in the dataset in eV per formula unit: 0.61
# D(E_F) in states/eV/cell: 22.991
# Formation energy in eV per formula unit: -2.89

***

[12]
# Tl3SnS | the Alexandria database | GGA-PBE | optimized geometry
data_Tl3SnS
_chemical_formula_sum 'Tl3 Sn1 S1'
_cell_length_a 5.766
_cell_length_b 5.766
_cell_length_c 5.766
_cell_angle_alpha 90.00
_cell_angle_beta 90.00
_cell_angle_gamma 90.00
_space_group_name_H-M_alt 'P 1'
_space_group_IT_number 1
_space_group_name_Hall 'P 1'
loop_
_atom_site_label
_atom_site_fract_x
_atom_site_fract_y
_atom_site_fract_z
Tl1 0.000 0.000 0.500
Tl2 0.000 0.500 0.000
Tl3 0.500 0.000 0.000
Sn1 0.000 0.000 0.000
S1 0.500 0.500 0.500
# Excess energy over the best structure of this formula in the dataset in eV per formula unit: 0.61
# D(E_F) in states/eV/cell: 2.336
# Uncorrected formation energy in eV/f.u.: 2.032